1.
# GGA-PBE Ta2TcMoH, optimized geometry
data_Ta2TcMoH
_cell_length_a 4.508
_cell_length_b 4.508
_cell_length_c 3.404
_cell_angle_alpha 90.00
_cell_angle_beta 90.00
_cell_angle_gamma 90.00
_symmetry_space_group_name_H-M 'P 4/m m m'
_symmetry_Int_Tables_number 123
_symmetry_space_group_name_Hall '-P 4 2'
loop_
_atom_site_label
_atom_site_type_symbol
_atom_site_fract_x
_atom_site_fract_y
_atom_site_fract_z
_atom_site_occupancy
Ta1 Ta 0.000 0.500 0.000 1
Tc1 Tc 0.000 0.000 0.500 1
Mo1 Mo 0.500 0.500 0.500 1
H1 H 0.000 0.000 0.000 1
# total moment: 0.001 μB/f.u.
# energy: -9.795 eV/atom



2.
# GGA-PBE Te4AsCl, optimized geometry
data_Te4AsCl
_cell_length_a 8.822
_cell_length_b 8.822
_cell_length_c 8.822
_cell_angle_alpha 90.00
_cell_angle_beta 90.00
_cell_angle_gamma 90.00
_symmetry_space_group_name_H-M 'F -4 3 m'
_symmetry_Int_Tables_number 216
_symmetry_space_group_name_Hall 'F -4 2 3'
loop_
_atom_site_label
_atom_site_type_symbol
_atom_site_fract_x
_atom_site_fract_y
_atom_site_fract_z
_atom_site_occupancy
Te1 Te 0.124 0.124 0.124 1
As1 As 0.250 0.250 0.750 1
Cl1 Cl 0.000 0.000 0.500 1
# total moment: 0.809 μB/f.u.
# energy: -2.698 eV/atom
# ΔE_f (raw): 0.479 eV per atom



What is the total moment in the second record?
0.809 μB/f.u.